Entry 1:
# HfTlCd2, optimized geometry, DFT GGA-PBE
# Symmetry ... F-43m (216)
# Final energy ... -0.119 Ha/atom
# Volume ... 22.48 Å³ per atom
data_HfTlCd2
_symmetry_space_group_name_H-M 'P 1'
_symmetry_Int_Tables_number 1
_symmetry_space_group_name_Hall 'P 1'
_cell_length_a 5.0286
_cell_length_b 5.0286
_cell_length_c 5.0286
_cell_angle_alpha 60.00
_cell_angle_beta 60.00
_cell_angle_gamma 60.00
loop_
_atom_site_label
_atom_site_type_symbol
_atom_site_fract_x
_atom_site_fract_y
_atom_site_fract_z
Cd1 Cd 0.0000 0.0000 0.0000
Cd2 Cd 0.7500 0.7500 0.7500
Hf1 Hf 0.2500 0.2500 0.2500
Tl1 Tl 0.5000 0.5000 0.5000



Entry 2:
# Hf2TlCd, optimized geometry, DFT GGA-PBE
# Symmetry ... F-43m (216)
# Final energy ... -0.196 Ha/atom
# Volume ... 23.04 Å³ per atom
data_Hf2TlCd
_symmetry_space_group_name_H-M 'P 1'
_symmetry_Int_Tables_number 1
_symmetry_space_group_name_Hall 'P 1'
_cell_length_a 5.0702
_cell_length_b 5.0702
_cell_length_c 5.0702
_cell_angle_alpha 60.00
_cell_angle_beta 60.00
_cell_angle_gamma 60.00
loop_
_atom_site_label
_atom_site_type_symbol
_atom_site_fract_x
_atom_site_fract_y
_atom_site_fract_z
Hf1 Hf 0.0000 0.0000 0.0000
Cd1 Cd 0.2500 0.2500 0.2500
Hf2 Hf 0.7500 0.7500 0.7500
Tl1 Tl 0.5000 0.5000 0.5000



Entry 3:
# HfCdW2, optimized geometry, DFT GGA-PBE
# Symmetry ... F-43m (216)
# ΔH_f (0 K) ... 1.327 eV/f.u.
# Final energy ... -0.326 Ha/atom
# Volume ... 18.00 Å³ per atom
data_HfCdW2
_symmetry_space_group_name_H-M 'P 1'
_symmetry_Int_Tables_number 1
_symmetry_space_group_name_Hall 'P 1'
_cell_length_a 4.6700
_cell_length_b 4.6700
_cell_length_c 4.6700
_cell_angle_alpha 60.00
_cell_angle_beta 60.00
_cell_angle_gamma 60.00
loop_
_atom_site_label
_atom_site_type_symbol
_atom_site_fract_x
_atom_site_fract_y
_atom_site_fract_z
W1 W 0.2500 0.2500 0.2500
Hf1 Hf 0.7500 0.7500 0.7500
Cd1 Cd 0.5000 0.5000 0.5000
W2 W 0.0000 0.0000 0.0000



Entry 4:
# Hf2CdW, optimized geometry, DFT GGA-PBE
# Symmetry ... F-43m (216)
# ΔH_f (0 K) ... 1.583 eV/f.u.
# Final energy ... -0.296 Ha/atom
# Volume ... 19.36 Å³ per atom
data_Hf2CdW
_symmetry_space_group_name_H-M 'P 1'
_symmetry_Int_Tables_number 1
_symmetry_space_group_name_Hall 'P 1'
_cell_length_a 4.7848
_cell_length_b 4.7848
_cell_length_c 4.7848
_cell_angle_alpha 60.00
_cell_angle_beta 60.00
_cell_angle_gamma 60.00
loop_
_atom_site_label
_atom_site_type_symbol
_atom_site_fract_x
_atom_site_fract_y
_atom_site_fract_z
W1 W 0.7500 0.7500 0.7500
Hf1 Hf 0.2500 0.2500 0.2500
Hf2 Hf 0.0000 0.0000 0.0000
Cd1 Cd 0.5000 0.5000 0.5000



Entry 5:
# YHfCd, optimized geometry, DFT GGA-PBE
# Symmetry ... F-43m (216)
# ΔH_f (0 K) ... 1.322 eV/f.u.
# Final energy ... -0.196 Ha/atom
# Distance to the lowest polymorph of the same formula ... 0.000 eV/f.u.
# Volume ... 27.98 Å³ per atom
data_YHfCd
_symmetry_space_group_name_H-M 'P 1'
_symmetry_Int_Tables_number 1
_symmetry_space_group_name_Hall 'P 1'
_cell_length_a 4.9147
_cell_length_b 4.9147
_cell_length_c 4.9147
_cell_angle_alpha 60.00
_cell_angle_beta 60.00
_cell_angle_gamma 60.00
loop_
_atom_site_label
_atom_site_type_symbol
_atom_site_fract_x
_atom_site_fract_y
_atom_site_fract_z
Hf1 Hf 0.2500 0.2500 0.2500
Y1 Y 0.7500 0.7500 0.7500
Cd1 Cd 0.0000 0.0000 0.0000



Entry 6:
# HfZnCd, optimized geometry, DFT GGA-PBE
# Symmetry ... P4/mmm (123)
# ΔH_f (0 K) ... 0.214 eV/f.u.
# Final energy ... -0.146 Ha/atom
# Volume ... 18.31 Å³ per atom
data_HfZnCd
_symmetry_space_group_name_H-M 'P 1'
_symmetry_Int_Tables_number 1
_symmetry_space_group_name_Hall 'P 1'
_cell_length_a 3.3163
_cell_length_b 3.3163
_cell_length_c 9.9918
_cell_angle_alpha 90.00
_cell_angle_beta 90.00
_cell_angle_gamma 90.00
loop_
_atom_site_label
_atom_site_type_symbol
_atom_site_fract_x
_atom_site_fract_y
_atom_site_fract_z
Cd1 Cd 0.0000 0.0000 0.6858
Hf1 Hf 0.0000 0.0000 0.0000
Hf2 Hf 0.5000 0.5000 0.5000
Zn1 Zn 0.5000 0.5000 0.8366
Zn2 Zn 0.5000 0.5000 0.1634
Cd2 Cd 0.0000 0.0000 0.3142



Entry 7:
# HfZnCd, optimized geometry, DFT GGA-PBE
# Symmetry ... P4/nmm (129)
# ΔH_f (0 K) ... 0.176 eV/f.u.
# Final energy ... -0.146 Ha/atom
# Volume ... 18.37 Å³ per atom
data_HfZnCd
_symmetry_space_group_name_H-M 'P 1'
_symmetry_Int_Tables_number 1
_symmetry_space_group_name_Hall 'P 1'
_cell_length_a 3.3248
_cell_length_b 3.3248
_cell_length_c 9.9707
_cell_angle_alpha 90.00
_cell_angle_beta 90.00
_cell_angle_gamma 90.00
loop_
_atom_site_label
_atom_site_type_symbol
_atom_site_fract_x
_atom_site_fract_y
_atom_site_fract_z
Cd1 Cd 0.0000 0.5000 0.4156
Zn1 Zn 0.5000 0.0000 0.9333
Cd2 Cd 0.5000 0.0000 0.5844
Hf1 Hf 0.5000 0.0000 0.2270
Hf2 Hf 0.0000 0.5000 0.7730
Zn2 Zn 0.0000 0.5000 0.0667



Entry 8:
# Hf2ZnCd, optimized geometry, DFT GGA-PBE
# Symmetry ... F-43m (216)
# ΔH_f (0 K) ... 1.340 eV/f.u.
# Final energy ... -0.190 Ha/atom
# Volume ... 20.52 Å³ per atom
data_Hf2ZnCd
_symmetry_space_group_name_H-M 'P 1'
_symmetry_Int_Tables_number 1
_symmetry_space_group_name_Hall 'P 1'
_cell_length_a 4.8783
_cell_length_b 4.8783
_cell_length_c 4.8783
_cell_angle_alpha 60.00
_cell_angle_beta 60.00
_cell_angle_gamma 60.00
loop_
_atom_site_label
_atom_site_type_symbol
_atom_site_fract_x
_atom_site_fract_y
_atom_site_fract_z
Hf1 Hf 0.0000 0.0000 0.0000
Cd1 Cd 0.2500 0.2500 0.2500
Zn1 Zn 0.5000 0.5000 0.5000
Hf2 Hf 0.7500 0.7500 0.7500